Compound: BaCrB2
Source: Alexandria
Functional: meta-GGA SCAN
Structure: PBEsol geometry

The space-group type is Fm-3m, No. 225. For the total energy, the calculation gives -16.813 eV per atom.

The structure in extended XYZ format:
```
4
Lattice="0.000 3.231 3.231 3.231 0.000 3.231 3.231 3.231 0.000" Properties=species:S:1:pos:R:3 pbc="T T T"
Ba 0.000 0.000 0.000
Cr 3.231 3.231 3.231
B 1.615 1.615 1.615
B 4.846 4.846 4.846
```


Compound: BaCr2BF
Source: Alexandria
Functional: meta-GGA SCAN
Structure: PBEsol geometry

Its uncorrected formation energy is -0.481 eV per atom. The space-group type is P4/mmm, No. 123. For the total energy, the calculation gives -17.939 eV per atom.

The structure in extended XYZ format:
```
5
Lattice="3.953 0.000 0.000 0.000 3.953 0.000 0.000 0.000 6.464" Properties=species:S:1:pos:R:3 pbc="T T T"
Ba 0.000 0.000 0.000
Cr 0.000 1.976 3.232
Cr 1.976 0.000 3.232
B 1.976 1.976 3.232
F 1.976 1.976 0.000
```


Compound: Ba2CrBI
Source: Alexandria
Functional: meta-GGA SCAN
Structure: PBEsol geometry

Its uncorrected formation energy is 0.888 eV per atom. The space-group type is P4/mmm, No. 123. For the total energy, the calculation gives -27.443 eV per atom.

The structure in extended XYZ format:
```
5
Lattice="5.938 0.000 0.000 0.000 5.938 0.000 0.000 0.000 4.921" Properties=species:S:1:pos:R:3 pbc="T T T"
Ba 0.000 2.969 0.000
Ba 2.969 0.000 0.000
Cr 0.000 0.000 0.000
B 2.969 2.969 2.461
I 0.000 0.000 2.461
```


Compound: BaCrBRh2
Source: Alexandria
Functional: meta-GGA SCAN
Structure: PBEsol geometry

The space-group type is P4/mmm, No. 123. For the total energy, the calculation gives -23.903 eV per atom.

The structure in extended XYZ format:
```
5
Lattice="4.945 0.000 0.000 0.000 4.945 0.000 0.000 0.000 5.285" Properties=species:S:1:pos:R:3 pbc="T T T"
Ba 0.000 0.000 0.000
Cr 0.000 0.000 2.643
B 2.473 2.473 2.643
Rh 0.000 2.473 0.000
Rh 2.473 0.000 0.000
```


Compound: Ba4La4Cu4B3O18
Source: Alexandria
Functional: meta-GGA SCAN
Structure: PBEsol geometry

Its uncorrected formation energy is -2.663 eV per atom. The space-group type is Pmm2, No. 25. For the total energy, the calculation gives -18.598 eV per atom.

The structure in extended XYZ format:
```
33
Lattice="7.689 0.000 0.000 0.000 7.990 0.000 0.000 0.000 7.571" Properties=species:S:1:pos:R:3 pbc="T T T"
Ba 1.861 1.959 0.000
Ba 1.861 6.031 0.000
Ba 5.828 1.959 0.000
Ba 5.828 6.031 0.000
La 1.938 2.112 3.637
La 1.938 5.878 3.637
La 5.750 2.112 3.637
La 5.750 5.878 3.637
Cu 0.000 0.000 1.940
Cu 0.000 3.995 1.994
Cu 3.844 0.000 2.180
Cu 3.844 3.995 1.900
B 0.000 3.995 5.738
B 3.844 0.000 5.768
B 3.844 3.995 5.781
O 0.000 0.000 7.384
O 0.000 2.030 2.139
O 0.000 2.760 5.075
O 0.000 3.995 7.124
O 0.000 5.231 5.075
O 0.000 5.960 2.139
O 1.917 3.995 2.129
O 1.937 0.000 2.490
O 2.635 3.995 5.094
O 3.844 0.000 7.154
O 3.844 1.220 5.099
O 3.844 2.015 2.103
O 3.844 3.995 7.162
O 3.844 5.976 2.103
O 3.844 6.771 5.099
O 5.053 3.995 5.094
O 5.752 0.000 2.490
O 5.772 3.995 2.129
```


Compound: BaNdCuBO5
Source: Alexandria
Functional: meta-GGA SCAN
Structure: PBEsol geometry

Its uncorrected formation energy is -2.732 eV per atom. The space-group type is P4bm, No. 100. For the total energy, the calculation gives -17.945 eV per atom.

The structure in extended XYZ format:
```
18
Lattice="5.479 0.000 0.000 0.000 5.479 0.000 0.000 0.000 7.491" Properties=species:S:1:pos:R:3 pbc="T T T"
Ba 0.000 0.000 0.000
Ba 2.740 2.740 0.000
Nd 0.000 0.000 3.692
Nd 2.740 2.740 3.692
Cu 0.000 2.740 2.014
Cu 2.740 0.000 2.014
B 0.000 2.740 5.669
B 2.740 0.000 5.669
O 0.000 2.740 7.059
O 0.862 1.877 5.008
O 1.358 4.098 2.146
O 1.381 1.358 2.146
O 1.877 4.617 5.008
O 2.740 0.000 7.059
O 3.602 0.862 5.008
O 4.098 4.121 2.146
O 4.121 1.381 2.146
O 4.617 3.602 5.008
```


Compound: Ba2CuB2O6
Source: Alexandria
Functional: meta-GGA SCAN
Structure: PBEsol geometry

Its uncorrected formation energy is -2.609 eV per atom. The space-group type is Pnma, No. 62. For the total energy, the calculation gives -15.931 eV per atom.

The structure in extended XYZ format:
```
88
Lattice="8.115 0.000 0.000 0.000 11.133 0.000 0.000 0.000 13.948" Properties=species:S:1:pos:R:3 pbc="T T T"
Ba 0.000 0.000 0.000
Ba 0.000 5.566 0.000
Ba 0.952 2.783 6.304
Ba 1.293 5.764 10.009
Ba 1.293 10.936 10.009
Ba 2.764 0.197 3.035
Ba 2.764 5.369 3.035
Ba 3.105 8.350 13.278
Ba 4.057 0.000 6.974
Ba 4.057 5.566 6.974
Ba 5.010 2.783 0.671
Ba 5.351 5.764 10.913
Ba 5.351 10.936 10.913
Ba 6.822 0.197 3.939
Ba 6.822 5.369 3.939
Ba 7.163 8.350 7.645
Cu 0.343 8.350 4.193
Cu 1.627 2.783 1.046
Cu 2.431 8.350 8.020
Cu 3.715 2.783 11.167
Cu 4.400 8.350 2.781
Cu 5.684 2.783 5.928
Cu 6.488 8.350 12.902
Cu 7.772 2.783 9.756
B 0.130 2.783 2.887
B 0.578 8.350 1.832
B 1.103 6.352 6.087
B 1.103 10.347 6.087
B 2.955 0.785 13.061
B 2.955 4.781 13.061
B 3.480 2.783 8.806
B 3.928 8.350 9.861
B 4.187 2.783 4.087
B 4.635 8.350 5.142
B 5.160 6.352 0.887
B 5.160 10.347 0.887
B 7.012 0.785 7.861
B 7.012 4.781 7.861
B 7.537 2.783 12.116
B 7.985 8.350 11.061
O 0.015 7.016 5.519
O 0.015 9.683 5.519
O 0.535 1.610 2.249
O 0.535 3.956 2.249
O 0.532 7.179 2.619
O 0.532 9.520 2.619
O 0.584 8.350 9.907
O 0.653 8.350 0.485
O 1.571 6.771 7.336
O 1.571 9.928 7.336
O 1.670 0.301 5.479
O 1.670 5.266 5.479
O 2.387 5.867 12.453
O 2.387 10.832 12.453
O 2.487 1.205 0.362
O 2.487 4.362 0.362
O 3.405 2.783 7.459
O 3.473 2.783 2.933
O 3.526 1.612 9.594
O 3.526 3.954 9.594
O 3.523 7.177 9.224
O 3.523 9.522 9.224
O 4.042 1.450 12.493
O 4.042 4.117 12.493
O 4.073 7.016 1.456
O 4.073 9.683 1.456
O 4.592 1.610 4.725
O 4.592 3.956 4.725
O 4.589 7.179 4.355
O 4.589 9.520 4.355
O 4.642 8.350 11.015
O 4.710 8.350 6.489
O 5.628 6.771 13.586
O 5.628 9.928 13.586
O 5.727 0.301 1.495
O 5.727 5.266 1.495
O 6.445 5.867 8.470
O 6.445 10.832 8.470
O 6.544 1.205 6.612
O 6.544 4.362 6.612
O 7.462 2.783 13.463
O 7.531 2.783 4.041
O 7.583 1.612 11.329
O 7.583 3.954 11.329
O 7.580 7.177 11.699
O 7.580 9.522 11.699
O 8.100 1.450 8.430
O 8.100 4.117 8.430
```


Compound: BaSmCuBO5
Source: Alexandria
Functional: meta-GGA SCAN
Structure: PBEsol geometry

Its uncorrected formation energy is -2.747 eV per atom. The space-group type is P4bm, No. 100. For the total energy, the calculation gives -18.056 eV per atom.

The structure in extended XYZ format:
```
18
Lattice="5.448 0.000 0.000 0.000 5.448 0.000 0.000 0.000 7.463" Properties=species:S:1:pos:R:3 pbc="T T T"
Ba 0.000 0.000 0.000
Ba 2.724 2.724 0.000
Sm 0.000 0.000 3.792
Sm 2.724 2.724 3.792
Cu 0.000 2.724 5.426
Cu 2.724 0.000 5.426
B 0.000 2.724 1.849
B 2.724 0.000 1.849
O 0.000 2.724 0.459
O 0.863 1.861 2.511
O 1.350 4.074 5.304
O 1.374 1.350 5.304
O 1.861 4.586 2.511
O 2.724 0.000 0.459
O 3.587 0.863 2.511
O 4.074 4.098 5.304
O 4.098 1.374 5.304
O 4.586 3.587 2.511
```


Compound: BaSr3Cu8B8O24
Source: Alexandria
Functional: meta-GGA SCAN
Structure: PBEsol geometry

Its uncorrected formation energy is -2.138 eV per atom. The space-group type is P222, No. 16. For the total energy, the calculation gives -12.069 eV per atom.

The structure in extended XYZ format:
```
44
Lattice="6.800 0.000 0.000 0.000 8.983 0.000 0.000 0.000 9.005" Properties=species:S:1:pos:R:3 pbc="T T T"
Ba 0.000 0.000 0.000
Sr 0.000 4.492 4.502
Sr 3.400 0.000 0.000
Sr 3.400 4.492 4.502
Cu 1.534 3.480 7.971
Cu 1.534 5.503 1.033
Cu 1.963 1.032 3.483
Cu 1.963 7.951 5.522
Cu 4.837 1.032 5.522
Cu 4.837 7.951 3.483
Cu 5.266 3.480 1.033
Cu 5.266 5.503 7.971
B 1.673 2.666 1.854
B 1.673 6.318 7.151
B 1.824 1.858 6.332
B 1.824 7.125 2.673
B 4.976 1.858 2.673
B 4.976 7.125 6.332
B 5.127 2.666 7.151
B 5.127 6.318 1.854
O 1.419 3.600 0.889
O 1.419 5.383 8.116
O 1.672 3.205 6.036
O 1.672 5.778 2.968
O 1.751 2.960 3.207
O 1.751 6.023 5.797
O 1.764 1.579 7.687
O 1.764 7.404 1.317
O 1.825 1.317 1.573
O 1.825 7.666 7.432
O 2.044 0.894 5.389
O 2.044 8.089 3.616
O 4.756 0.894 3.616
O 4.756 8.089 5.389
O 4.975 1.317 7.432
O 4.975 7.666 1.573
O 5.036 1.579 1.317
O 5.036 7.404 7.687
O 5.049 2.960 5.797
O 5.049 6.023 3.207
O 5.128 3.205 2.968
O 5.128 5.778 6.036
O 5.381 3.600 8.116
O 5.381 5.383 0.889
```


Compound: Ba3DyB3O9
Source: Alexandria
Functional: meta-GGA SCAN
Structure: PBEsol geometry

Its uncorrected formation energy is -3.179 eV per atom. The space-group type is P6_3cm, No. 185. For the total energy, the calculation gives -18.480 eV per atom.

The structure in extended XYZ format:
```
96
Lattice="9.416 0.000 0.000 -4.708 8.154 0.000 0.000 0.000 17.534" Properties=species:S:1:pos:R:3 pbc="T T T"
Ba 0.000 0.000 0.000
Ba 0.000 0.000 8.767
Ba -1.505 2.608 6.117
Ba -1.630 2.823 10.314
Ba -3.078 5.331 1.547
Ba -3.202 5.547 14.884
Ba 3.011 0.000 6.117
Ba 1.505 2.608 14.884
Ba 0.000 5.436 7.754
Ba 0.000 5.436 16.521
Ba 3.259 0.000 10.314
Ba 1.630 2.823 1.547
Ba 6.156 0.000 1.547
Ba 3.078 5.331 10.314
Ba 4.708 2.718 7.754
Ba 4.708 2.718 16.521
Ba 6.405 0.000 14.884
Ba 3.202 5.547 6.117
Dy 0.000 0.000 3.790
Dy 0.000 0.000 12.557
Dy 0.000 5.436 3.877
Dy 0.000 5.436 12.644
Dy 4.708 2.718 3.877
Dy 4.708 2.718 12.644
B -1.534 2.657 2.498
B -1.567 2.714 16.996
B -1.604 2.778 14.016
B -3.104 5.376 5.249
B -3.141 5.441 8.229
B -3.174 5.497 11.265
B 3.068 0.000 2.498
B 1.534 2.657 11.265
B 3.133 0.000 16.996
B 1.567 2.714 8.229
B 3.208 0.000 14.016
B 1.604 2.778 5.249
B 6.208 0.000 5.249
B 3.104 5.376 14.016
B 6.282 0.000 8.229
B 3.141 5.441 16.996
B 6.348 0.000 11.265
B 3.174 5.497 2.498
O -0.847 1.467 2.328
O -0.915 1.585 13.828
O -2.263 3.919 17.000
O -2.445 4.235 8.233
O -3.793 6.569 5.061
O -3.861 6.688 11.095
O -0.842 3.853 2.591
O -1.792 5.499 11.357
O -0.175 2.714 16.988
O -0.904 3.972 14.106
O -1.720 5.385 5.339
O -2.445 6.645 8.221
O 1.694 0.000 2.328
O 0.847 1.467 11.095
O 0.175 2.714 8.221
O -2.270 6.949 16.988
O 1.830 0.000 13.828
O 0.915 1.585 5.061
O 0.842 3.853 11.357
O -0.950 6.957 2.591
O 2.438 1.206 16.988
O 2.263 1.509 8.221
O 0.904 3.972 5.339
O -0.815 6.951 14.106
O 3.758 1.197 2.591
O 2.915 2.656 11.357
O 4.525 0.000 17.000
O 2.263 3.919 8.233
O 3.892 1.203 14.106
O 2.988 2.769 5.339
O 1.720 5.385 14.106
O 0.815 6.951 5.339
O 4.890 0.000 8.233
O 2.445 4.235 17.000
O 1.792 5.499 2.591
O 0.950 6.957 11.357
O 5.523 1.203 5.339
O 3.804 4.182 14.106
O 2.445 6.645 16.988
O 2.270 6.949 8.221
O 5.658 1.197 11.357
O 3.866 4.302 2.591
O 7.585 0.000 5.061
O 3.793 6.569 13.828
O 6.978 1.206 8.221
O 4.533 5.440 16.988
O 7.722 0.000 11.095
O 3.861 6.688 2.328
O 7.153 1.509 16.988
O 6.428 2.769 14.106
O 5.612 4.182 5.339
O 4.883 5.440 8.221
O 6.500 2.656 2.591
O 5.550 4.302 11.357
```


Compound: BaBF2
Source: Alexandria
Functional: meta-GGA SCAN
Structure: PBEsol geometry

Its uncorrected formation energy is -1.524 eV per atom. The space-group type is R-3m, No. 166. For the total energy, the calculation gives -15.039 eV per atom.

The structure in extended XYZ format:
```
4
Lattice="2.184 1.261 5.391 -2.184 1.261 5.391 0.000 -2.521 5.391" Properties=species:S:1:pos:R:3 pbc="T T T"
Ba 0.000 0.000 0.000
B 0.000 0.000 8.087
F 0.000 0.000 6.096
F 0.000 0.000 10.078
```


Compound: BaBNF2
Source: Alexandria
Functional: meta-GGA SCAN
Structure: PBEsol geometry

Its uncorrected formation energy is -0.057 eV per atom. The space-group type is P4/mmm, No. 123. For the total energy, the calculation gives -12.727 eV per atom.

The structure in extended XYZ format:
```
5
Lattice="4.913 0.000 0.000 0.000 4.913 0.000 0.000 0.000 5.511" Properties=species:S:1:pos:R:3 pbc="T T T"
Ba 0.000 0.000 0.000
B 2.457 2.457 2.755
N 0.000 0.000 2.755
F 0.000 2.457 0.000
F 2.457 0.000 0.000
```


total energy of number 9 (BaSr3Cu8B8O24)?
-12.069 eV per atom